Here is Ca3LaPm2Se6 after structural relaxation from Alexandria. Energies are from PBE.

energy relative to the elements, uncorrected: -186 kJ per mole of atoms
symmetry: C2/m (12)
electronic total energy: -5.371 eV per atom

abc: 7.259 7.259 7.391
angles: 99.45 99.45 119.95
Element x y z (fractional)
Ca  0.000  0.000  0.000
Ca  0.334  0.666  0.000
Ca  0.666  0.334  0.000
La  0.500  0.500  0.500
Pm  0.166  0.834  0.500
Pm  0.834  0.166  0.500
Se  0.077  0.415  0.244
Se  0.248  0.248  0.756
Se  0.415  0.077  0.244
Se  0.585  0.923  0.756
Se  0.752  0.752  0.244
Se  0.923  0.585  0.756